1.
This record from Alexandria via LeMat-Bulk describes ScC3 after structural relaxation. The functional is PBE. Values from VASP.

Cell and atoms, written as Quantum ESPRESSO input:
```
&SYSTEM
  ibrav = 0, nat = 16, ntyp = 2
/
ATOMIC_SPECIES
Sc 44.96 Sc.upf
C 12.01 C.upf
CELL_PARAMETERS angstrom
4.577 0.000 0.000
-2.288 3.964 0.000
0.000 0.000 8.538
ATOMIC_POSITIONS crystal
Sc 0.000 0.000 0.000
Sc 0.000 0.000 0.500
Sc 0.333 0.667 0.250
Sc 0.667 0.333 0.750
C 0.000 0.500 0.000
C 0.000 0.500 0.500
C 0.226 0.451 0.750
C 0.226 0.774 0.750
C 0.451 0.226 0.250
C 0.500 0.000 0.000
C 0.500 0.000 0.500
C 0.500 0.500 0.000
C 0.500 0.500 0.500
C 0.549 0.774 0.750
C 0.774 0.226 0.250
C 0.774 0.549 0.250
```

Formation energy (eV per formula unit): 5.618
E_tot (eV/atom): -7.096
Polymorph energy (0 for the lowest one) (meV/atom): 1156

2.
This record from Alexandria via LeMat-Bulk describes RbCoOs after structural relaxation. The functional is PBE. Values from VASP.

Cell and atoms, written as Quantum ESPRESSO input:
```
&SYSTEM
  ibrav = 0, nat = 6, ntyp = 3
/
ATOMIC_SPECIES
Rb 85.47 Rb.upf
Co 58.93 Co.upf
Os 190.23 Os.upf
CELL_PARAMETERS angstrom
4.529 0.000 0.000
1.780 4.170 0.000
1.627 -0.322 10.834
ATOMIC_POSITIONS crystal
Rb 0.000 0.000 0.000
Rb 0.243 0.435 0.430
Co 0.128 0.974 0.671
Co 0.629 0.475 0.671
Os 0.099 0.480 0.748
Os 0.599 0.980 0.745
```

Formation energy (eV per formula unit): 2.014
E_tot (eV/atom): -5.763
Polymorph energy (0 for the lowest one) (meV/atom): 19

3.
This record from Alexandria via LeMat-Bulk describes ZrHgOs3 after structural relaxation. The functional is PBE. Values from VASP.

Cell and atoms, written as Quantum ESPRESSO input:
```
&SYSTEM
  ibrav = 0, nat = 5, ntyp = 3
/
ATOMIC_SPECIES
Zr 91.22 Zr.upf
Hg 200.59 Hg.upf
Os 190.23 Os.upf
CELL_PARAMETERS angstrom
4.827 0.000 0.000
0.000 4.827 0.000
0.000 0.000 4.827
ATOMIC_POSITIONS crystal
Zr 0.000 0.000 0.000
Hg 0.500 0.500 0.500
Os 0.000 0.500 0.500
Os 0.500 0.000 0.500
Os 0.500 0.500 0.000
```

Formation energy (eV per formula unit): 12.900
E_tot (eV/atom): -5.928
Polymorph energy (0 for the lowest one) (meV/atom): 178

4.
This record from Alexandria via LeMat-Bulk describes Ac4AlIr after structural relaxation. The functional is PBE. Values from VASP.

Cell and atoms, written as Quantum ESPRESSO input:
```
&SYSTEM
  ibrav = 0, nat = 12, ntyp = 3
/
ATOMIC_SPECIES
Ac 227.00 Ac.upf
Al 26.98 Al.upf
Ir 192.22 Ir.upf
CELL_PARAMETERS angstrom
6.794 0.000 0.000
0.000 7.453 0.000
-3.098 0.000 8.434
ATOMIC_POSITIONS crystal
Ac 0.015 0.002 0.225
Ac 0.015 0.498 0.225
Ac 0.421 0.250 0.626
Ac 0.449 0.250 0.092
Ac 0.551 0.750 0.908
Ac 0.579 0.750 0.374
Ac 0.985 0.502 0.775
Ac 0.985 0.998 0.775
Al 0.202 0.750 0.551
Al 0.798 0.250 0.449
Ir 0.228 0.750 0.057
Ir 0.772 0.250 0.943
```

Formation energy (eV per formula unit): -1.805
E_tot (eV/atom): -5.140

5.
This record from Alexandria via LeMat-Bulk describes HgC2 after structural relaxation. The functional is PBE. Values from VASP.

Cell and atoms, written as Quantum ESPRESSO input:
```
&SYSTEM
  ibrav = 0, nat = 3, ntyp = 2
/
ATOMIC_SPECIES
Hg 200.59 Hg.upf
C 12.01 C.upf
CELL_PARAMETERS angstrom
2.532 0.000 0.000
0.000 2.532 0.000
0.000 0.000 6.322
ATOMIC_POSITIONS crystal
Hg 0.000 0.000 0.000
C 0.000 0.500 0.500
C 0.500 0.000 0.500
```

Formation energy (eV per formula unit): 6.918
E_tot (eV/atom): -3.944
Polymorph energy (0 for the lowest one) (meV/atom): 1768